Computed, not measured: a relaxed structure of MnCrF3 at the PBE+U level of DFT.

**V**: 74 Å³ per cell
**SG**: No. 221
**Total magnetic moment**: 10.00 Bohr magnetons per cell
**Energy above the most stable polymorph in this dataset**: 0.000 kcal/mol of atoms

```
MnCrF3
1.0
4.2005 0.0000 0.0000
0.0000 4.2005 0.0000
0.0000 0.0000 4.2005
Mn Cr F
1 1 3
Cartesian
0.0000 0.0000 0.0000 Mn
2.1003 2.1003 2.1003 Cr
0.0000 0.0000 2.1003 F
0.0000 2.1003 0.0000 F
2.1003 0.0000 0.0000 F
```